Tb3Sn2Hg after structural relaxation, computed with PBE-GGA.

Calculated values
Offset from the most stable computed form: 3.87 kJ per mole of atoms
Density of states at the Fermi level: 8.6 states/eV per cell
Energy of formation: -53.6 kJ per mole of atoms
Volume: 26.944 Å³ per atom

Structure (extended XYZ):
```
12
Lattice="6.3316 0.0000 0.0000 0.0000 6.4117 -0.0812 -3.1658 -1.6731 7.9856" Properties=species:S:1:pos:R:3 pbc="T T T"
Tb 4.0611 1.6029 -0.0203
Tb 2.2705 4.8088 -0.0609
Tb 0.6821 0.0678 2.7295
Tb 3.8479 1.4650 5.2154
Tb -0.6821 3.2736 2.6889
Tb 2.4837 4.6709 5.1748
Sn 2.5137 3.0142 2.5051
Sn 3.8179 -0.1916 2.5457
Sn -0.6521 4.9303 5.3586
Sn 0.6521 1.7245 5.3992
Hg 5.5241 4.8088 -0.0609
Hg 0.8075 1.6029 -0.0203
```